Entry 1:
A relaxed Pr6Dy3HoTm2 crystal, computed with GGA-PBE.

a = 6.2904 Å, b = 10.8939 Å, c = 11.8417 Å
α = 90.00°, β = 100.18°, γ = 90.00°
Space group C2/m (No. 12)
One atom of each set of equivalent atoms:
Pr: 0.2497 0.0000 0.2489 (multiplicity 4)
Pr: 0.2499 0.1668 0.7512 (multiplicity 8)
Dy: 0.0000 0.0000 0.5000 (multiplicity 2)
Dy: 0.0000 0.3333 0.5000 (multiplicity 4)
Ho: 0.0000 0.5000 0.0000 (multiplicity 2)
Tm: 0.0000 0.1666 0.0000 (multiplicity 4)

Calculated values
E_form in eV per atom: 0.0130


Entry 2:
A relaxed LiCa3Dy2S6 crystal, computed with GGA-PBE.

a = 6.8458 Å, b = 11.8499 Å, c = 6.8667 Å
α = 90.00°, β = 109.40°, γ = 90.00°
Space group C2/m (No. 12)
One atom of each set of equivalent atoms:
Li: 0.0000 0.0000 0.0000 (multiplicity 2)
Ca: 0.0000 0.1651 0.5000 (multiplicity 4)
Ca: 0.0000 0.5000 0.5000 (multiplicity 2)
Dy: 0.0000 0.3331 0.0000 (multiplicity 4)
S: 0.2459 0.5000 0.2403 (multiplicity 4)
S: 0.2478 0.1672 0.2413 (multiplicity 8)

Calculated values
Energy relative to the elements, uncorrected in kJ/mol of atoms: -194.4


Entry 3:
A relaxed IrSeI crystal, computed with GGA-PBE.

a = 6.6427 Å, b = 3.8358 Å, c = 6.8200 Å
α = 90.00°, β = 108.64°, γ = 90.00°
Space group Cm (No. 8)
One atom of each set of equivalent atoms:
Ir: 0.0000 0.0000 0.0000 (multiplicity 2)
Se: 0.2291 0.5000 0.1904 (multiplicity 2)
I: 0.2545 0.0000 0.7597 (multiplicity 2)

Calculated values
Energy relative to the elements, uncorrected in kJ/mol of atoms: -11.1


Entry 4:
A relaxed Na2BeZn3Ge4 crystal, computed with GGA-PBE.

a = 4.0937 Å, b = 4.0937 Å, c = 11.1217 Å
α = 90.00°, β = 90.00°, γ = 90.00°
Space group P-4m2 (No. 115)
One atom of each set of equivalent atoms:
Na: 0.0000 0.5000 0.2345 (multiplicity 2)
Be: 0.5000 0.5000 0.0000 (multiplicity 1)
Zn: 0.0000 0.0000 0.0000 (multiplicity 1)
Zn: 0.0000 0.5000 0.6509 (multiplicity 2)
Ge: 0.0000 0.0000 0.5000 (multiplicity 1)
Ge: 0.0000 0.5000 0.8712 (multiplicity 2)
Ge: 0.5000 0.5000 0.5000 (multiplicity 1)

Calculated values
E_form in eV per atom: -0.0194


Entry 5:
A relaxed NbVB3 crystal, computed with GGA-PBE.

a = 3.2137 Å, b = 18.8945 Å, c = 3.0633 Å
α = 90.00°, β = 90.00°, γ = 90.00°
Space group Cmcm (No. 63)
One atom of each set of equivalent atoms:
Nb: 0.0000 0.0726 0.2500 (multiplicity 4)
V: 0.0000 0.2055 0.7500 (multiplicity 4)
B: 0.0000 0.3273 0.7500 (multiplicity 4)
B: 0.0000 0.3775 0.2500 (multiplicity 4)
B: 0.0000 0.4759 0.2500 (multiplicity 4)

Calculated values
E above lowest polymorph in meV per atom: 0
E_form in eV per atom: -0.7679


Entry 6:
A relaxed CsCa3As crystal, computed with GGA-PBE.

a = 5.6932 Å, b = 5.6932 Å, c = 5.6932 Å
α = 90.00°, β = 90.00°, γ = 90.00°
Space group Pm-3m (No. 221)
One atom of each set of equivalent atoms:
Cs: 0.0000 0.0000 0.0000 (multiplicity 1)
Ca: 0.0000 0.0000 0.5000 (multiplicity 3)
As: 0.5000 0.5000 0.5000 (multiplicity 1)

Calculated values
E above lowest polymorph in meV per atom: 1463
E_form in eV per atom: 1.1492


Entry 7:
A relaxed Zr2AgCl crystal, computed with GGA-PBE.

a = 7.1009 Å, b = 7.1009 Å, c = 7.1009 Å
α = 90.00°, β = 90.00°, γ = 90.00°
Space group F-43m (No. 216)
One atom of each set of equivalent atoms:
Zr: 0.0000 0.0000 0.0000 (multiplicity 4)
Zr: 0.2500 0.2500 0.2500 (multiplicity 4)
Ag: 0.0000 0.0000 0.5000 (multiplicity 4)
Cl: 0.2500 0.2500 0.7500 (multiplicity 4)

Calculated values
Energy relative to the elements, uncorrected in kJ/mol of atoms: 49.4
E above lowest polymorph in meV per atom: 1012


Entry 8:
A relaxed YBe3Os crystal, computed with GGA-PBE.

a = 4.2728 Å, b = 4.2728 Å, c = 4.2728 Å
α = 90.00°, β = 90.00°, γ = 90.00°
Space group Pm-3m (No. 221)
One atom of each set of equivalent atoms:
Y: 0.0000 0.0000 0.0000 (multiplicity 1)
Be: 0.0000 0.5000 0.5000 (multiplicity 3)
Os: 0.5000 0.5000 0.5000 (multiplicity 1)

Calculated values
E above lowest polymorph in meV per atom: 0
E_form in eV per atom: -0.0727


Entry 9:
A relaxed Er5AlHg3 crystal, computed with GGA-PBE.

a = 8.9940 Å, b = 8.9940 Å, c = 6.5654 Å
α = 90.00°, β = 90.00°, γ = 120.00°
Space group P6_3/mcm (No. 193)
One atom of each set of equivalent atoms:
Er: 0.0000 0.2837 0.2500 (multiplicity 6)
Er: 0.3333 0.6667 0.0000 (multiplicity 4)
Al: 0.0000 0.0000 0.0000 (multiplicity 2)
Hg: 0.0000 0.3786 0.7500 (multiplicity 6)

Calculated values
E_form in eV per atom: -0.3763


Entry 10:
A relaxed BePdSe crystal, computed with GGA-PBE.

a = 5.2141 Å, b = 3.5138 Å, c = 10.8844 Å
α = 90.00°, β = 90.00°, γ = 90.00°
Space group Pnma (No. 62)
One atom of each set of equivalent atoms:
Be: 0.2011 0.2500 0.0555 (multiplicity 4)
Pd: 0.0105 0.7500 0.3926 (multiplicity 4)
Se: 0.0088 0.7500 0.1439 (multiplicity 4)

Calculated values
Energy relative to the elements, uncorrected in kJ/mol of atoms: -31.7


Entry 11:
A relaxed AlIn2Pb4 crystal, computed with GGA-PBE.

a = 5.5747 Å, b = 5.5747 Å, c = 15.3111 Å
α = 90.00°, β = 90.00°, γ = 90.00°
Space group I4/mmm (No. 139)
One atom of each set of equivalent atoms:
Al: 0.0000 0.0000 0.0000 (multiplicity 2)
In: 0.0000 0.0000 0.3831 (multiplicity 4)
Pb: 0.0000 0.0000 0.1839 (multiplicity 4)
Pb: 0.0000 0.5000 0.0000 (multiplicity 4)

Calculated values
E_form in eV per atom: 0.3438


Entry 12:
A relaxed Ac6Co2IrI3 crystal, computed with GGA-PBE.

a = 7.4773 Å, b = 12.9502 Å, c = 8.9728 Å
α = 90.00°, β = 106.13°, γ = 90.00°
Space group C2/m (No. 12)
One atom of each set of equivalent atoms:
Ac: 0.2215 0.0000 0.1819 (multiplicity 4)
Ac: 0.2303 0.3304 0.1820 (multiplicity 8)
Co: 0.0000 0.1666 0.0000 (multiplicity 4)
Ir: 0.0000 0.5000 0.0000 (multiplicity 2)
I: 0.0000 0.0000 0.5000 (multiplicity 2)
I: 0.0000 0.3333 0.5000 (multiplicity 4)

Calculated values
Energy relative to the elements, uncorrected in kJ/mol of atoms: -73.9


Entry 13:
A relaxed Tl3In9Ga2 crystal, computed with GGA-PBE.

a = 4.8216 Å, b = 11.9254 Å, c = 13.3884 Å
α = 90.00°, β = 90.00°, γ = 90.00°
Space group Immm (No. 71)
One atom of each set of equivalent atoms:
Tl: 0.0000 0.0000 0.0000 (multiplicity 2)
Tl: 0.0000 0.0000 0.2874 (multiplicity 4)
In: 0.0000 0.2925 0.1497 (multiplicity 8)
In: 0.0000 0.3685 0.3711 (multiplicity 8)
In: 0.0000 0.5000 0.0000 (multiplicity 2)
Ga: 0.0000 0.1586 0.5000 (multiplicity 4)

Calculated values
E_form in eV per atom: 0.0381


Entry 14:
A relaxed KMnCd2 crystal, computed with GGA-PBE.

a = 7.4531 Å, b = 7.4531 Å, c = 7.4531 Å
α = 90.00°, β = 90.00°, γ = 90.00°
Space group Fm-3m (No. 225)
One atom of each set of equivalent atoms:
K: 0.0000 0.0000 0.0000 (multiplicity 4)
Mn: 0.0000 0.0000 0.5000 (multiplicity 4)
Cd: 0.2500 0.2500 0.2500 (multiplicity 8)

Calculated values
E above lowest polymorph in meV per atom: 188
E_form in eV per atom: 0.4317


Entry 15:
A relaxed Be2SiAs crystal, computed with GGA-PBE.

a = 4.4681 Å, b = 3.7325 Å, c = 7.0871 Å
α = 90.00°, β = 90.00°, γ = 90.00°
Space group Amm2 (No. 38)
One atom of each set of equivalent atoms:
Be: 0.0000 0.0000 0.0000 (multiplicity 2)
Be: 0.5000 0.0000 0.1616 (multiplicity 2)
Si: 0.0000 0.0000 0.3130 (multiplicity 2)
As: 0.5000 0.0000 0.8441 (multiplicity 2)

Calculated values
Energy relative to the elements, uncorrected in kJ/mol of atoms: 16.7
E above lowest polymorph in meV per atom: 0


Entry 16:
A relaxed TlIn2Cu crystal, computed with GGA-PBE.

a = 4.5970 Å, b = 4.5970 Å, c = 8.9974 Å
α = 90.00°, β = 90.00°, γ = 90.00°
Space group I-4m2 (No. 119)
One atom of each set of equivalent atoms:
Tl: 0.0000 0.0000 0.0000 (multiplicity 2)
In: 0.0000 0.0000 0.5000 (multiplicity 2)
In: 0.0000 0.5000 0.2500 (multiplicity 2)
Cu: 0.0000 0.5000 0.7500 (multiplicity 2)

Calculated values
E_form in eV per atom: 0.2388


The volume results, record by record, are as follows: 799 525 165 186 186 185 358 78 460 199 476 835 770 414 118 190 Å³ per cell.
The VASP energy results, record by record, are as follows: -111.7 -132.1 -28.5 -28.8 -172.2 -5.8 -79.0 -29.2 -61.7 -53.6 -43.3 -123.1 -74.5 -41.5 -33.7 -22.0 eV/cell.